Here is an optimized crystal structure of Lu2In from the Open Quantum Materials Database. Energies are from PBE-GGA.

The calculation puts the volume at 168.5 Å³/cell. Its total energy is -3.775 eV/atom. The space group is Fd-3m.

The structure in extended XYZ format:
```
6
Lattice="-1.0793 -5.9991 -1.1303 1.1209 -4.2318 4.3894 -4.7183 -2.8824 2.8037" Properties=species:S:1:pos:R:3 pbc="T T T"
Lu -3.4834 -6.0799 1.5945
Lu -2.3833 -5.1963 4.3544
Lu -2.9230 -8.1958 3.7893
Lu -0.5638 -6.7546 2.3874
In -1.1692 -3.2783 1.5157
In 0.0000 0.0000 0.0000
```

***

Here is an optimized crystal structure of TmNbSb from the Open Quantum Materials Database. Energies are from PBE-GGA.

The calculation puts the volume at 76.7 Å³/cell. Its total energy is -6.235 eV/atom. The space group is F-43m.

The structure in extended XYZ format:
```
3
Lattice="-1.5654 -3.8087 -2.4073 -3.9752 -2.2358 1.3967 -3.9621 0.3088 -2.6377" Properties=species:S:1:pos:R:3 pbc="T T T"
Tm -4.7514 -2.8678 -1.8241
Sb -7.1270 -4.3018 -2.7362
Nb 0.0000 0.0000 0.0000
```

***

Here is an optimized crystal structure of GdBiMo from the Open Quantum Materials Database. Energies are from PBE-GGA.

The calculation puts the volume at 79.0 Å³/cell. Its total energy is -6.040 eV/atom. The space group is F-43m.

The structure in extended XYZ format:
```
3
Lattice="0.0000 3.4050 3.4050 3.4050 0.0000 3.4050 3.4050 3.4050 0.0000" Properties=species:S:1:pos:R:3 pbc="T T T"
Mo 0.0000 0.0000 0.0000
Gd 5.1075 5.1075 5.1075
Bi 1.7025 1.7025 1.7025
```

***

Here is an optimized crystal structure of FeNiGePt from the Open Quantum Materials Database. Energies are from PBE-GGA.

The calculation puts the volume at 53.4 Å³/cell. Its total energy is -6.265 eV/atom. The space group is F-43m.

The structure in extended XYZ format:
```
4
Lattice="0.0000 2.9890 2.9890 2.9890 0.0000 2.9890 2.9890 2.9890 0.0000" Properties=species:S:1:pos:R:3 pbc="T T T"
Ge 0.0000 0.0000 0.0000
Ni 1.4945 1.4945 1.4945
Fe 4.4835 4.4835 4.4835
Pt 2.9890 2.9890 2.9890
```

***

Here is an optimized crystal structure of Ta2Ge2Mo from the Open Quantum Materials Database. Energies are from PBE-GGA.

The calculation puts the volume at 88.4 Å³/cell. Its total energy is -8.327 eV/atom. The space group is I4/mmm.

The structure in extended XYZ format:
```
5
Lattice="3.7342 -5.1103 1.3329 3.6666 -1.1987 5.1919 -5.8296 1.9163 -2.0446" Properties=species:S:1:pos:R:3 pbc="T T T"
Ta 0.8026 -3.1743 1.2753
Ta 0.7687 -1.2185 3.2048
Mo 0.0000 0.0000 0.0000
Ge 4.4243 -3.7716 3.9005
Ge 2.9766 -2.5375 2.6242
```

***

Here is an optimized crystal structure of NiS8Cl2 from the Open Quantum Materials Database. Energies are from PBE-GGA.

The calculation puts the volume at 231.5 Å³/cell. Its total energy is -3.572 eV/atom. The space group is R-3m.

The structure in extended XYZ format:
```
11
Lattice="-3.3878 5.8140 -1.6356 0.3434 5.5593 4.1149 3.4606 5.6569 -1.9948" Properties=species:S:1:pos:R:3 pbc="T T T"
S 0.1261 9.7878 -1.9732
S 2.2419 9.6429 1.3035
S 0.0704 2.8829 0.0820
S 2.0715 7.2977 -1.0148
S 0.2901 7.2424 2.4577
S -1.8258 7.3874 -0.8191
S -1.6554 9.7326 1.4993
S 0.3457 14.1474 0.4024
Cl 0.2713 11.1025 0.3158
Cl 0.1449 5.9278 0.1686
Ni 0.0000 0.0000 0.0000
```

***

Here is an optimized crystal structure of TbScSn from the Open Quantum Materials Database. Energies are from PBE-GGA.

The calculation puts the volume at 159.7 Å³/cell. Its total energy is -5.621 eV/atom. The space group is P4/nmm.

The structure in extended XYZ format:
```
6
Lattice="4.4171 0.0000 0.0000 0.0000 4.4171 0.0000 0.0000 0.0000 8.1843" Properties=species:S:1:pos:R:3 pbc="T T T"
Sc 0.0000 0.0000 4.0921
Sc 2.2086 2.2086 4.0921
Tb 2.2086 0.0000 1.2632
Tb 0.0000 2.2086 6.9211
Sn 0.0000 2.2086 1.9468
Sn 2.2086 0.0000 6.2375
```

***

Here is an optimized crystal structure of Zr4In3W2C3 from the Open Quantum Materials Database. Energies are from PBE-GGA.

The calculation puts the volume at 405.6 Å³/cell. Its total energy is -8.456 eV/atom. The space group is C2/c.

The structure in extended XYZ format:
```
24
Lattice="4.8846 -2.8292 0.0000 4.8846 2.8292 0.0000 -3.3097 0.0000 14.6759" Properties=species:S:1:pos:R:3 pbc="T T T"
C 4.1057 -1.3565 0.0000
C 2.4509 1.3565 7.3379
C 5.6635 1.3565 0.0000
C 4.0087 -1.3565 7.3380
C 2.4423 1.4146 0.0000
C 0.7875 -1.4146 7.3379
In 0.8893 0.4086 11.0356
In 2.4023 -2.2029 11.0069
In 3.9153 0.4086 10.9782
In 2.5442 -0.4086 3.6977
In 4.0572 2.2030 3.6690
In 5.5702 -0.4086 3.6403
W 2.4376 -0.4966 13.5857
W 4.0220 0.4966 1.0902
W 2.3671 -0.4966 8.4282
W 4.0924 0.4966 6.2477
Zr 7.3038 0.4370 6.0410
Zr -0.8443 -0.4370 8.6348
Zr 5.6490 -0.4370 13.3790
Zr 0.7621 0.4936 6.0412
Zr 7.3523 0.4936 1.2968
Zr 5.6974 -0.4936 8.6347
Zr -0.8927 -0.4936 13.3791
Zr 0.8106 0.4370 1.2969
```

***

Here is an optimized crystal structure of Tb2TmSn3Ir2Pd from the Open Quantum Materials Database. Energies are from PBE-GGA.

The calculation puts the volume at 193.0 Å³/cell. Its total energy is -6.268 eV/atom. The space group is Amm2.

The structure in extended XYZ format:
```
9
Lattice="3.8914 0.0000 0.0000 0.0000 6.5454 3.7881 0.0000 -6.5454 3.7881" Properties=species:S:1:pos:R:3 pbc="T T T"
Tb 0.0000 2.6812 6.0197
Tb 0.0000 -2.6812 6.0197
Tm 0.0000 0.0000 3.1073
Ir 1.9457 2.1570 3.7807
Ir 1.9457 -2.1570 3.7807
Pd 0.0000 0.0000 0.0203
Sn 1.9457 0.0000 5.5722
Sn 1.9457 1.7290 1.0020
Sn 1.9457 -1.7290 1.0020
```

***

Here is an optimized crystal structure of Co3Mo2W4C3 from the Open Quantum Materials Database. Energies are from PBE-GGA.

The calculation puts the volume at 291.8 Å³/cell. Its total energy is -10.061 eV/atom. The space group is C2/c.

The structure in extended XYZ format:
```
24
Lattice="-3.5459 3.3934 -1.2519 -3.2022 -0.9364 -3.8112 -6.0789 -6.4940 10.1699" Properties=species:S:1:pos:R:3 pbc="T T T"
W -5.8148 0.9527 -3.2225
W -3.9154 -2.4662 2.8167
W -4.4080 -3.1990 5.6730
W -8.9117 -1.5707 2.2902
W -1.3094 -0.6959 0.1484
W -11.5176 -3.3411 4.9585
W -7.0123 -4.9896 8.3293
W -8.4191 -0.8379 -0.5662
C -5.8163 -3.1974 2.3537
C -9.0132 -4.4610 8.6110
C -4.8124 -1.5503 4.4590
C -3.8139 0.4241 -3.5042
C -7.0108 -0.8395 2.7532
C -1.6011 -0.4682 -1.9056
Co -5.9923 -5.1404 6.0147
Co -7.8112 -5.1794 4.1872
Co -5.0158 1.1425 0.9197
Co -3.0828 -0.2568 1.8972
Co -9.7443 -3.7802 3.2097
Co -6.8348 1.1034 -0.9079
Mo -3.8155 -0.0310 -1.3003
Mo -5.9139 -1.4917 0.8891
Mo -6.9132 -2.5452 4.2178
Mo -9.0115 -4.0060 6.4072
```

***

Here is an optimized crystal structure of Li4Al2CuAg from the Open Quantum Materials Database. Energies are from PBE-GGA.

The calculation puts the volume at 115.5 Å³/cell. Its total energy is -2.926 eV/atom. The space group is P-4m2.

The structure in extended XYZ format:
```
8
Lattice="-3.8052 -0.6759 -1.9671 -1.0326 -2.9462 3.0099 -2.5565 4.4027 3.4325" Properties=species:S:1:pos:R:3 pbc="T T T"
Li -3.6972 0.3903 2.2376
Li -2.5190 0.7236 -0.1559
Li 0.0000 0.0000 0.0000
Li -2.4564 1.8680 4.1098
Al -1.1065 -0.4568 2.2973
Al -3.8689 3.0484 1.6566
Cu -2.4189 -1.8111 0.5214
Ag -1.2782 2.2014 1.7162
```

***

Here is an optimized crystal structure of NdI2Cl from the Open Quantum Materials Database. Energies are from PBE-GGA.

The calculation puts the volume at 301.4 Å³/cell. Its total energy is -4.132 eV/atom. The space group is Cmcm.

The structure in extended XYZ format:
```
8
Lattice="-4.8042 -0.4927 5.8351 4.1934 -3.6278 -5.1601 7.5848 -0.1027 6.2360" Properties=species:S:1:pos:R:3 pbc="T T T"
I 8.0915 -2.6046 4.6124
I 1.7271 -1.6571 4.6374
I 5.2470 -2.5661 2.2737
I -1.1175 -1.6186 2.2987
Cl 8.8286 -3.3377 0.8042
Cl -1.8545 -0.8854 6.1068
Nd 3.7541 -2.8397 -0.7471
Nd 3.2199 -1.3835 7.6582
```